[1]
DFT (SCAN) results for a crystal of Fe3SbP6O24 relaxed with PBEsol.

```
data_Fe3SbP6O24
_chemical_formula_sum 'Fe9 Sb3 P18 O72'
_cell_length_a 8.0573
_cell_length_b 8.0573
_cell_length_c 21.6099
_cell_angle_alpha 90.00
_cell_angle_beta 90.00
_cell_angle_gamma 120.00
_space_group_name_H-M_alt 'R 3'
_space_group_IT_number 146
_space_group_name_Hall 'R 3'
loop_
_atom_site_label
_atom_site_fract_x
_atom_site_fract_y
_atom_site_fract_z
_atom_site_occupancy
Fe1 0.0000 0.0000 0.0000 1
Fe2 0.0000 0.0000 0.2088 1
Fe3 0.0000 0.0000 0.7000 1
Sb1 0.0000 0.0000 0.4900 1
P1 0.0454 0.3766 0.2694 1
P2 0.0589 0.6758 0.7649 1
O1 0.0174 0.2123 0.5389 1
O2 0.0351 0.8277 0.4346 1
O3 0.0869 0.8736 0.0479 1
O4 0.1000 0.8789 0.7497 1
O5 0.1463 0.6773 0.8282 1
O6 0.1722 0.4743 0.9296 1
O7 0.2009 0.4489 0.6181 1
O8 0.2102 0.4506 0.3176 1
```

Summary:
The value obtained for the formation energy (no corrections) is -189.46 kJ per mole of atoms. The calculation puts the total energy at -10.8928 eV per atom.



[2]
DFT (SCAN) results for a crystal of V3Fe2SbP6O24 relaxed with PBEsol.

```
data_V3Fe2SbP6O24
_chemical_formula_sum 'V9 Fe6 Sb3 P18 O72'
_cell_length_a 8.6980
_cell_length_b 8.6980
_cell_length_c 19.8866
_cell_angle_alpha 90.00
_cell_angle_beta 90.00
_cell_angle_gamma 120.00
_space_group_name_H-M_alt 'R 3'
_space_group_IT_number 146
_space_group_name_Hall 'R 3'
loop_
_atom_site_label
_atom_site_fract_x
_atom_site_fract_y
_atom_site_fract_z
_atom_site_occupancy
V1 0.0000 0.0000 0.0000 1
V2 0.0000 0.0000 0.2157 1
V3 0.0000 0.0000 0.5072 1
Fe1 0.0000 0.0000 0.3604 1
Fe2 0.0000 0.0000 0.8588 1
Sb1 0.0000 0.0000 0.7060 1
P1 0.0067 0.7107 0.1096 1
P2 0.0234 0.3557 0.2803 1
O1 0.0001 0.2498 0.6850 1
O2 0.0067 0.8099 0.0459 1
O3 0.0188 0.8234 0.1708 1
O4 0.0202 0.8290 0.7868 1
O5 0.1532 0.4746 0.2259 1
O6 0.1686 0.4918 0.5983 1
O7 0.1704 0.0076 0.2805 1
O8 0.1706 0.6834 0.1053 1
```

Summary:
The value obtained for the formation energy (no corrections) is -221.01 kJ per mole of atoms. The calculation puts the total energy at -11.6774 eV per atom.



Which value of formation energy (no corrections) does entry 2 give? -221.01 kJ per mole of atoms